(1)
KPPb | GGA-PBE | relaxed

Lattice parameters (Å, degrees): 4.864 4.864 4.920 90.00 90.00 120.00
Fractional positions:
1 K 0.000 0.000 0.000
2 P 0.667 0.333 0.510
3 Pb 0.333 0.667 0.494

Calculated values
Crystal system: trigonal
M_tot, μB per formula unit: 0.00
SG: No. 156
Energy, eV/atom: -3.4624

(2)
LiHfRhAu | GGA-PBE | relaxed

Lattice parameters (Å, degrees): 4.534 4.534 4.534 60.00 60.00 60.00
Fractional positions:
1 Li 0.000 0.000 0.000
2 Hf 0.500 0.500 0.500
3 Rh 0.250 0.250 0.250
4 Au 0.750 0.750 0.750

Calculated values
Crystal system: cubic
M_tot, μB per formula unit: 0.00
SG: No. 216
Energy, eV/atom: -6.1868

(3)
ZnCO3 | GGA-PBE | relaxed

Lattice parameters (Å, degrees): 3.756 3.756 3.756 90.00 90.00 90.00
Fractional positions:
1 Zn 0.000 0.000 0.000
2 C 0.500 0.500 0.500
3 O 0.000 0.000 0.500
4 O 0.000 0.500 0.000
5 O 0.500 0.000 0.000

Calculated values
Formation energy without anion corrections, meV per atom: 1503.9
Crystal system: cubic
M_tot, μB per formula unit: 1.05
SG: No. 221

(4)
CdIn2FeMo | GGA-PBE | relaxed

Lattice parameters (Å, degrees): 5.246 5.246 4.950 90.00 90.00 90.00
Fractional positions:
1 Cd 0.000 0.000 0.000
2 In 0.000 0.500 0.000
3 In 0.500 0.000 0.000
4 Fe 0.000 0.000 0.500
5 Mo 0.500 0.500 0.500

Calculated values
Crystal system: tetragonal
M_tot, μB per formula unit: 7.02
SG: No. 123
Energy, eV/atom: -3.5538

(5)
Na8Hg6Au | GGA-PBE | relaxed

Lattice parameters (Å, degrees): 8.183 8.183 8.183 65.11 65.11 65.11
Fractional positions:
1 Na 0.049 0.720 0.383
2 Na 0.167 0.167 0.167
3 Na 0.280 0.617 0.951
4 Na 0.383 0.049 0.720
5 Na 0.617 0.951 0.280
6 Na 0.720 0.383 0.049
7 Na 0.833 0.833 0.833
8 Na 0.951 0.280 0.617
9 Hg 0.127 0.449 0.769
10 Hg 0.231 0.873 0.551
11 Hg 0.449 0.769 0.127
12 Hg 0.551 0.231 0.873
13 Hg 0.769 0.127 0.449
14 Hg 0.873 0.551 0.231
15 Au 0.500 0.500 0.500

Calculated values
Excess energy over the best structure of this formula in the dataset, meV/atom: 22
Crystal system: trigonal
M_tot, μB per formula unit: 0.00
SG: No. 148

(6)
HoScAlNi | GGA-PBE | relaxed

Lattice parameters (Å, degrees): 4.808 4.808 4.808 60.00 60.00 60.00
Fractional positions:
1 Ho 0.000 0.000 0.000
2 Sc 0.500 0.500 0.500
3 Al 0.250 0.250 0.250
4 Ni 0.750 0.750 0.750

Calculated values
Crystal system: cubic
M_tot, μB per formula unit: 0.00
SG: No. 216
Energy, eV/atom: -5.4622

(7)
MgMnCo | GGA-PBE | relaxed

Lattice parameters (Å, degrees): 4.201 4.201 5.396 90.00 90.00 120.00
Fractional positions:
1 Mg 0.000 0.000 0.000
2 Mg 0.000 0.000 0.500
3 Mn 0.333 0.667 0.250
4 Mn 0.667 0.333 0.750
5 Co 0.333 0.667 0.750
6 Co 0.667 0.333 0.250

Calculated values
Excess energy over the best structure of this formula in the dataset, meV/atom: 170
Crystal system: hexagonal
M_tot, μB per formula unit: 3.52
SG: No. 194

(8)
ScAsPt2Rh | GGA-PBE | relaxed

Lattice parameters (Å, degrees): 4.671 4.671 4.550 90.00 90.00 90.00
Fractional positions:
1 Sc 0.000 0.000 0.000
2 As 0.500 0.500 0.500
3 Pt 0.000 0.500 0.500
4 Pt 0.500 0.000 0.500
5 Rh 0.500 0.500 0.000

Calculated values
Crystal system: tetragonal
M_tot, μB per formula unit: 0.00
SG: No. 123
Energy, eV/atom: -6.1920

(9)
MnZn4Pt2 | GGA-PBE | relaxed

Lattice parameters (Å, degrees): 7.111 7.111 7.111 142.08 142.08 54.71
Fractional positions:
1 Mn 0.000 0.000 0.000
2 Zn 0.000 0.500 0.500
3 Zn 0.198 0.198 0.000
4 Zn 0.500 0.000 0.500
5 Zn 0.802 0.802 0.000
6 Pt 0.393 0.393 0.000
7 Pt 0.607 0.607 0.000

Calculated values
Excess energy over the best structure of this formula in the dataset, meV/atom: 566
Crystal system: tetragonal
M_tot, μB per formula unit: 3.45
SG: No. 139

(10)
Lu2FeHg | GGA-PBE | relaxed

Lattice parameters (Å, degrees): 4.946 4.946 4.946 60.00 60.00 60.00
Fractional positions:
1 Lu 0.250 0.250 0.250
2 Lu 0.750 0.750 0.750
3 Fe 0.000 0.000 0.000
4 Hg 0.500 0.500 0.500

Calculated values
Excess energy over the best structure of this formula in the dataset, meV/atom: 122
Crystal system: cubic
M_tot, μB per formula unit: 1.47
SG: No. 225

(11)
Cs2GaBi | GGA-PBE | relaxed

Lattice parameters (Å, degrees): 13.297 13.297 13.297 156.33 156.33 33.73
Fractional positions:
1 Cs 0.109 0.625 0.984
2 Cs 0.375 0.359 0.484
3 Cs 0.641 0.125 0.016
4 Cs 0.875 0.891 0.516
5 Ga 0.000 0.000 0.000
6 Ga 0.750 0.250 0.500
7 Bi 0.250 0.750 0.500
8 Bi 0.500 0.500 0.000

Calculated values
Excess energy over the best structure of this formula in the dataset, meV/atom: 488
Crystal system: tetragonal
M_tot, μB per formula unit: 0.19
SG: No. 122

(12)
HoH4Ir | GGA-PBE | relaxed

Lattice parameters (Å, degrees): 4.441 4.441 4.441 129.20 118.40 83.82
Fractional positions:
1 Ho 0.000 0.000 0.000
2 H 0.059 0.326 0.733
3 H 0.407 0.674 0.733
4 H 0.593 0.326 0.267
5 H 0.941 0.674 0.267
6 Ir 0.500 0.500 0.000

Calculated values
Crystal system: orthorhombic
M_tot, μB per formula unit: 0.00
SG: No. 71
Energy, eV/atom: -4.9509